# 1
Entry from Alexandria: a relaxed structure of Pr12DyEr7 (PBE-GGA).

- E_form (eV per atom) = 0.225
- E_tot (eV/atom) = -4.470

Lattice parameters (Å, degrees): 6.264 11.564 11.564 116.81 100.40 100.40
Fractional coordinates of all 20 atoms:
1 Pr 0.911 0.824 0.412
2 Pr 0.934 0.352 0.352
3 Pr 0.088 0.588 0.176
4 Pr 0.582 0.648 0.000
5 Pr 0.089 0.176 0.588
6 Pr 0.500 0.588 0.412
7 Pr 0.582 0.000 0.648
8 Pr 0.066 0.648 0.648
9 Pr 0.418 0.000 0.352
10 Pr 0.500 0.412 0.588
11 Pr 0.912 0.412 0.824
12 Pr 0.418 0.352 0.000
13 Dy 0.000 0.000 0.000
14 Er 0.500 0.000 0.000
15 Er 0.876 0.244 0.000
16 Er 0.876 0.000 0.244
17 Er 0.633 0.756 0.756
18 Er 0.367 0.244 0.244
19 Er 0.124 0.000 0.756
20 Er 0.124 0.756 0.000

=====

# 2
Entry from Alexandria: a relaxed structure of Pr3Dy5Er2 (PBE-GGA).

- E_form (eV per atom) = 0.191
- E_tot (eV/atom) = -4.457

Lattice parameters (Å, degrees): 9.451 9.420 11.169 124.78 124.84 69.42
Fractional coordinates of all 20 atoms:
1 Pr 0.267 0.525 0.748
2 Pr 0.733 0.475 0.252
3 Pr 0.019 0.777 0.252
4 Pr 0.765 0.015 0.031
5 Pr 0.235 0.985 0.969
6 Pr 0.981 0.223 0.748
7 Dy 0.973 0.223 0.445
8 Dy 0.027 0.777 0.555
9 Dy 0.727 0.477 0.955
10 Dy 0.273 0.523 0.045
11 Dy 0.152 0.398 0.279
12 Dy 0.848 0.602 0.721
13 Dy 0.531 0.281 0.562
14 Dy 0.627 0.880 0.279
15 Dy 0.469 0.719 0.438
16 Dy 0.373 0.120 0.721
17 Er 0.232 0.990 0.269
18 Er 0.768 0.010 0.731
19 Er 0.536 0.279 0.269
20 Er 0.464 0.721 0.731

=====

# 3
Entry from Alexandria: a relaxed structure of Pr2Dy6Er3 (PBE-GGA).

- E_form (eV per atom) = 0.273
- E_tot (eV/atom) = -4.351

Lattice parameters (Å, degrees): 4.733 4.733 16.993 98.01 98.01 90.00
Fractional coordinates of all 11 atoms:
1 Pr 0.546 0.546 0.093
2 Pr 0.454 0.454 0.907
3 Dy 0.303 0.303 0.607
4 Dy 0.877 0.377 0.754
5 Dy 0.123 0.623 0.246
6 Dy 0.697 0.697 0.393
7 Dy 0.623 0.123 0.246
8 Dy 0.377 0.877 0.754
9 Er 0.000 0.000 0.000
10 Er 0.201 0.201 0.402
11 Er 0.799 0.799 0.598

=====

| no. | density of states at the Fermi level (states/eV per atom) |
| --- | --- |
| 1 | 1.439 |
| 2 | 1.717 |
| 3 | 1.461 |